(1)
Here is an optimized crystal structure of AcUAs3Au from Alexandria via LeMat-Bulk. Energies are from PBE.

Lattice parameters (Å, degrees): 4.183 8.370 9.262 105.62 90.00 90.00
Positions (direct):
Ac: 0.250 0.202 0.243
Ac: 0.750 0.798 0.757
U: 0.250 0.682 0.162
U: 0.750 0.318 0.838
As: 0.750 0.904 0.134
As: 0.250 0.096 0.866
As: 0.250 0.724 0.472
As: 0.750 0.276 0.528
As: 0.750 0.447 0.153
As: 0.250 0.553 0.847
Au: 0.250 0.108 0.580
Au: 0.750 0.892 0.420

total energy = -6.1899 eV/atom
energy relative to the elements = -4.52 eV per formula unit

---

(2)
Here is an optimized crystal structure of SrIn2Si from Alexandria via LeMat-Bulk. Energies are from PBE.

Lattice parameters (Å, degrees): 6.797 6.797 6.797 39.55 39.55 39.55
Positions (direct):
In: 0.972 0.972 0.972
In: 0.528 0.528 0.528
Si: 0.250 0.250 0.250
Sr: 0.750 0.750 0.750

total energy = -3.2568 eV/atom
formation energy from raw total energies = -0.111 eV per atom

---

(3)
Here is an optimized crystal structure of LiCa2YRu from Alexandria via LeMat-Bulk. Energies are from PBE.

Lattice parameters (Å, degrees): 5.592 5.592 5.262 90.00 90.00 90.00
Positions (direct):
Y: 0.000 0.000 0.500
Ru: 0.000 0.000 0.000
Ca: 0.000 0.500 0.000
Ca: 0.500 0.000 0.000
Li: 0.500 0.500 0.500

total energy = -4.2386 eV/atom
energy relative to the elements = 0.46 eV per formula unit

---

(4)
Here is an optimized crystal structure of RbLaHgBi2 from Alexandria via LeMat-Bulk. Energies are from PBE.

Lattice parameters (Å, degrees): 6.179 7.584 6.179 90.00 90.00 90.00
Positions (direct):
La: 0.000 0.000 0.000
Bi: 0.000 0.000 0.500
Bi: 0.500 0.000 0.000
Rb: 0.000 0.500 0.000
Hg: 0.500 0.500 0.500

total energy = -2.6395 eV/atom
energy relative to the elements = 0.76 eV per formula unit

---

(5)
Here is an optimized crystal structure of NaFe2TePb from Alexandria via LeMat-Bulk. Energies are from PBE.

Lattice parameters (Å, degrees): 5.064 6.298 5.064 90.00 90.00 90.00
Positions (direct):
Pb: 0.000 0.000 0.000
Na: 0.500 0.500 0.500
Te: 0.000 0.500 0.000
Fe: 0.000 0.000 0.500
Fe: 0.500 0.000 0.000

total energy = -4.0510 eV/atom
formation energy from raw total energies = 0.968 eV per atom

---

(6)
Here is an optimized crystal structure of AgAu from Alexandria via LeMat-Bulk. Energies are from PBE.

Lattice parameters (Å, degrees): 4.246 4.246 5.516 90.00 90.00 120.00
Positions (direct):
Au: 0.000 0.000 0.000
Au: 0.000 0.000 0.500
Ag: 0.333 0.667 0.250
Ag: 0.667 0.333 0.750

total energy = -2.8945 eV/atom
energy relative to the elements = 0.34 eV per formula unit